A plane-wave DFT calculation with GGA-PBE was carried out for a geometry-optimized Sm5TmTl6 structure.

a b c (Å): 5.462 7.613 8.630
angles (deg): 90.00 108.15 90.00
Fractional coordinates of all 12 atoms:
Sm: 0.000 0.000 0.000
Sm: 0.331 0.000 0.661
Sm: 0.334 0.500 0.668
Sm: 0.666 0.500 0.332
Sm: 0.669 0.000 0.339
Tm: 0.000 0.500 0.000
Tl: 0.164 0.254 0.328
Tl: 0.164 0.746 0.328
Tl: 0.500 0.253 0.000
Tl: 0.500 0.747 0.000
Tl: 0.836 0.254 0.672
Tl: 0.836 0.746 0.672

M_tot ... 0.00 μB per formula unit
SG ... P2/m (10)
DFT formation energy ... -8.4 kcal/mol of atoms